The following is a DFT calculation (PBE-GGA) of crystalline Cu2Pd8Pt3 at its relaxed geometry.

Lattice parameters (Å, degrees): 5.108 5.108 9.909 75.06 75.06 60.00
Sites, in units of the cell vectors:
Cu 0.638 0.638 0.085
Pd 0.230 0.731 0.307
Pd 0.269 0.770 0.693
Pt 0.183 0.183 0.451
Pt 0.000 0.000 0.000
Pd 0.770 0.269 0.693
Cu 0.362 0.362 0.915
Pd 0.731 0.731 0.307
Pd 0.731 0.230 0.307
Pd 0.269 0.269 0.693
Pd 0.722 0.722 0.833
Pd 0.278 0.278 0.167
Pt 0.817 0.817 0.549

Values from the calculation:
Space group   No. 166
M_tot   0.0 μB per formula unit
Calculated formation energy   0.325 eV per atom
Uncorrected energy   -4.895 eV/atom
Polymorph energy (0 for the lowest one)   131.8 meV per atom